Below is an optimized crystal structure of Ca2MgCd4, with properties calculated at the PBE-GGA level.

Cell: 5.232 5.232 16.277 Å, 90.00 90.00 90.00°
Space group I4/mmm (No. 139)
One atom of each set of equivalent atoms:
Ca (0.000, 0.000, 0.127)
Mg (0.000, 0.000, 0.500)
Cd (0.000, 0.000, 0.323)
Cd (0.000, 0.500, 0.000)

Computed properties:
**Calculated density**: 4.1 g/cm3
**Crystal system**: tetragonal
**Magnetic moment**: 0.000 Bohr magnetons per cell
**Fermi-level density of states**: 7.03 states/eV/cell
**Polymorph energy (0 for the lowest one)**: 1.38 eV/f.u.